1.
A plane-wave DFT calculation with PBE was carried out for a relaxed Na2LiTl crystal.

- Formation enthalpy at 0 K: 0.00 eV/f.u.
- Relative energy among the computed polymorphs: 0.0975 eV/atom
- Calculated volume: 232.8 Å³ per cell
- Total magnetic moment: 0.00 μB/atom

Unit cell a=6.023 b=3.530 c=11.101 alpha=90.00 beta=99.47 gamma=90.00
Fractional positions:
Na 0.000 0.000 0.000
Na 0.166 0.000 0.495
Na 0.500 0.500 0.000
Na 0.666 0.500 0.495
Li 0.246 0.500 0.248
Li 0.746 0.000 0.248
Tl 0.081 0.500 0.747
Tl 0.581 0.000 0.747



2.
A plane-wave DFT calculation with PBE was carried out for a relaxed Hf6AsPb2 crystal.

- Formation enthalpy at 0 K: -1.34 eV/f.u.
- Calculated volume: 408.4 Å³ per cell
- Total magnetic moment: 0.00 μB/atom

Unit cell a=5.790 b=7.597 c=10.819 alpha=90.00 beta=120.89 gamma=90.00
Fractional positions:
Hf 0.071 0.198 0.452
Hf 0.071 0.302 0.952
Hf 0.320 0.023 0.210
Hf 0.320 0.477 0.710
Hf 0.322 0.671 0.454
Hf 0.322 0.829 0.954
Hf 0.678 0.171 0.046
Hf 0.678 0.329 0.546
Hf 0.680 0.523 0.290
Hf 0.680 0.977 0.790
Hf 0.929 0.698 0.048
Hf 0.929 0.802 0.548
As 0.500 0.000 0.500
As 0.500 0.500 0.000
Pb 0.157 0.111 0.744
Pb 0.157 0.389 0.244
Pb 0.843 0.611 0.756
Pb 0.843 0.889 0.256



- Look up the formation enthalpy at 0 K of the second one.
  -1.34 eV/f.u.